# Pm2PrCu9 (PBE, relaxed)
data_Pm2PrCu9
_chemical_formula_sum 'Pm6 Pr3 Cu27'
_space_group_name_H-M_alt 'R -3 m'
_space_group_IT_number 166
_space_group_name_Hall '-R 3 2"'
_cell_length_a 5.2653
_cell_length_b 5.2653
_cell_length_c 25.1375
_cell_angle_alpha 90.00
_cell_angle_beta 90.00
_cell_angle_gamma 120.00
loop_
_atom_site_label
_atom_site_type_symbol
_atom_site_fract_x
_atom_site_fract_y
_atom_site_fract_z
Pm1 Pm 0.0000 0.0000 0.1440
Pr1 Pr 0.0000 0.0000 0.0000
Cu1 Cu 0.0000 0.0000 0.3315
Cu2 Cu 0.0000 0.0000 0.5000
Cu3 Cu 0.0047 0.5023 0.0813
# Magnetic moment, Bohr magnetons per cell: 0.00
# Energy of formation, eV/atom: -0.146